This record from OQMD describes CsNbBr3 after structural relaxation. The functional is PBE. Values from VASP.

energy above the most stable polymorph in this dataset	13.1	meV/atom

```
&SYSTEM
  ibrav = 0, nat = 5, ntyp = 3
/
ATOMIC_SPECIES
Cs 132.91 Cs.upf
Nb 92.91 Nb.upf
Br 79.90 Br.upf
CELL_PARAMETERS angstrom
5.438 0.000 0.000
0.000 5.438 0.000
0.000 0.000 5.562
ATOMIC_POSITIONS crystal
Cs 0.000 0.000 0.000
Nb 0.500 0.500 0.450
Br 0.000 0.500 0.507
Br 0.500 0.000 0.507
Br 0.500 0.500 0.968
```

***

This record from OQMD describes CsNbBr3 after structural relaxation. The functional is PBE. Values from VASP.

energy above the most stable polymorph in this dataset	429.4	meV/atom

```
&SYSTEM
  ibrav = 0, nat = 5, ntyp = 3
/
ATOMIC_SPECIES
Cs 132.91 Cs.upf
Nb 92.91 Nb.upf
Br 79.90 Br.upf
CELL_PARAMETERS angstrom
4.942 0.000 0.000
0.000 4.942 0.000
0.000 0.000 8.534
ATOMIC_POSITIONS crystal
Cs 0.000 0.000 0.000
Nb 0.500 0.500 0.419
Br 0.000 0.000 0.619
Br 0.000 0.500 0.292
Br 0.500 0.000 0.292
```

***

This record from OQMD describes CsNbBr3 after structural relaxation. The functional is PBE. Values from VASP.

energy above the most stable polymorph in this dataset	15.6	meV/atom

```
&SYSTEM
  ibrav = 0, nat = 5, ntyp = 3
/
ATOMIC_SPECIES
Cs 132.91 Cs.upf
Nb 92.91 Nb.upf
Br 79.90 Br.upf
CELL_PARAMETERS angstrom
5.488 0.000 0.000
0.000 5.488 0.000
0.000 0.000 5.488
ATOMIC_POSITIONS crystal
Cs 0.000 0.000 0.000
Nb 0.500 0.500 0.500
Br 0.000 0.500 0.500
Br 0.500 0.000 0.500
Br 0.500 0.500 0.000
```

***

This record from OQMD describes CsNbBr3 after structural relaxation. The functional is PBE. Values from VASP.

energy above the most stable polymorph in this dataset	3.0	meV/atom

```
&SYSTEM
  ibrav = 0, nat = 10, ntyp = 3
/
ATOMIC_SPECIES
Cs 132.91 Cs.upf
Nb 92.91 Nb.upf
Br 79.90 Br.upf
CELL_PARAMETERS angstrom
3.720 2.148 7.850
-3.720 2.148 7.850
0.000 -4.296 7.850
ATOMIC_POSITIONS crystal
Cs 0.149 0.149 0.149
Cs 0.851 0.851 0.851
Nb 0.333 0.333 0.333
Nb 0.667 0.667 0.667
Br 0.065 0.446 0.682
Br 0.318 0.935 0.554
Br 0.446 0.682 0.065
Br 0.554 0.318 0.935
Br 0.682 0.065 0.446
Br 0.935 0.554 0.318
```

***

This record from OQMD describes CsNb4BrO5 after structural relaxation. The functional is PBE. Values from VASP.

E	-8.04	eV/atom

```
&SYSTEM
  ibrav = 0, nat = 11, ntyp = 4
/
ATOMIC_SPECIES
Cs 132.91 Cs.upf
Nb 92.91 Nb.upf
Br 79.90 Br.upf
O 16.00 O.upf
CELL_PARAMETERS angstrom
4.280 0.000 0.000
0.000 4.280 0.000
0.000 0.000 9.443
ATOMIC_POSITIONS crystal
Cs 0.000 0.000 0.000
Nb 0.000 0.500 0.500
Nb 0.500 0.000 0.500
Nb 0.500 0.500 0.290
Nb 0.500 0.500 0.710
Br 0.500 0.500 0.000
O 0.000 0.000 0.500
O 0.000 0.500 0.279
O 0.000 0.500 0.721
O 0.500 0.000 0.279
O 0.500 0.000 0.721
```

***

This record from OQMD describes Cs5Nb2S4Br9 after structural relaxation. The functional is PBE. Values from VASP.

E	-4.13	eV/atom

```
&SYSTEM
  ibrav = 0, nat = 20, ntyp = 4
/
ATOMIC_SPECIES
Cs 132.91 Cs.upf
Nb 92.91 Nb.upf
S 32.06 S.upf
Br 79.90 Br.upf
CELL_PARAMETERS angstrom
-3.835 5.594 8.450
3.835 -5.594 8.450
3.835 5.594 -8.450
ATOMIC_POSITIONS crystal
Cs 0.000 0.000 0.000
Cs 0.063 0.339 0.723
Cs 0.384 0.661 0.723
Cs 0.616 0.339 0.277
Cs 0.937 0.661 0.277
Nb 0.413 0.913 0.500
Nb 0.587 0.087 0.500
S 0.410 0.232 0.641
S 0.410 0.768 0.178
S 0.590 0.232 0.822
S 0.590 0.768 0.359
Br 0.000 0.500 0.500
Br 0.128 0.873 0.255
Br 0.295 0.036 0.741
Br 0.295 0.554 0.259
Br 0.382 0.127 0.255
Br 0.618 0.873 0.745
Br 0.705 0.446 0.741
Br 0.705 0.964 0.259
Br 0.872 0.127 0.745
```

***

This record from OQMD describes CsNdBr3 after structural relaxation. The functional is PBE. Values from VASP.

energy above the most stable polymorph in this dataset	74.5	meV/atom

```
&SYSTEM
  ibrav = 0, nat = 5, ntyp = 3
/
ATOMIC_SPECIES
Cs 132.91 Cs.upf
Nd 144.24 Nd.upf
Br 79.90 Br.upf
CELL_PARAMETERS angstrom
5.816 0.000 0.000
0.000 5.816 0.000
0.000 0.000 5.816
ATOMIC_POSITIONS crystal
Cs 0.000 0.000 0.000
Nd 0.500 0.500 0.500
Br 0.000 0.500 0.500
Br 0.500 0.000 0.500
Br 0.500 0.500 0.000
```

***

This record from OQMD describes CsNdBr3 after structural relaxation. The functional is PBE. Values from VASP.

energy above the most stable polymorph in this dataset	0.0	meV/atom

```
&SYSTEM
  ibrav = 0, nat = 20, ntyp = 3
/
ATOMIC_SPECIES
Cs 132.91 Cs.upf
Nd 144.24 Nd.upf
Br 79.90 Br.upf
CELL_PARAMETERS angstrom
9.926 0.000 0.000
0.000 4.191 0.000
0.000 0.000 17.427
ATOMIC_POSITIONS crystal
Cs 0.068 0.250 0.174
Cs 0.432 0.750 0.674
Cs 0.568 0.250 0.326
Cs 0.932 0.750 0.826
Nd 0.132 0.750 0.454
Nd 0.368 0.250 0.954
Nd 0.632 0.750 0.046
Nd 0.868 0.250 0.546
Br 0.050 0.750 0.622
Br 0.168 0.750 0.003
Br 0.230 0.250 0.803
Br 0.270 0.750 0.303
Br 0.332 0.250 0.503
Br 0.450 0.250 0.122
Br 0.550 0.750 0.878
Br 0.668 0.750 0.497
Br 0.730 0.250 0.697
Br 0.770 0.750 0.197
Br 0.832 0.250 0.997
Br 0.950 0.250 0.378
```

***

This record from OQMD describes CsNi2Br5 after structural relaxation. The functional is PBE. Values from VASP.

E	-3.12	eV/atom

```
&SYSTEM
  ibrav = 0, nat = 16, ntyp = 3
/
ATOMIC_SPECIES
Cs 132.91 Cs.upf
Ni 58.69 Ni.upf
Br 79.90 Br.upf
CELL_PARAMETERS angstrom
8.177 0.000 0.000
0.000 5.789 0.000
-3.215 0.000 10.647
ATOMIC_POSITIONS crystal
Cs 0.006 0.250 0.235
Cs 0.994 0.750 0.765
Ni 0.400 0.750 0.562
Ni 0.484 0.750 0.199
Ni 0.516 0.250 0.801
Ni 0.600 0.250 0.438
Br 0.116 0.750 0.446
Br 0.190 0.750 0.113
Br 0.280 0.250 0.875
Br 0.419 0.250 0.572
Br 0.491 0.250 0.220
Br 0.509 0.750 0.780
Br 0.581 0.750 0.428
Br 0.720 0.750 0.125
Br 0.810 0.250 0.887
Br 0.884 0.250 0.554
```

***

This record from OQMD describes CsNiBr3 after structural relaxation. The functional is PBE. Values from VASP.

E	-3.24	eV/atom

```
&SYSTEM
  ibrav = 0, nat = 10, ntyp = 3
/
ATOMIC_SPECIES
Cs 132.91 Cs.upf
Ni 58.69 Ni.upf
Br 79.90 Br.upf
CELL_PARAMETERS angstrom
7.642 0.000 0.000
-3.821 6.618 0.000
0.000 0.000 6.307
ATOMIC_POSITIONS crystal
Cs 0.333 0.667 0.250
Cs 0.667 0.333 0.750
Ni 0.000 0.000 0.000
Ni 0.000 0.000 0.500
Br 0.153 0.306 0.750
Br 0.153 0.847 0.750
Br 0.306 0.153 0.250
Br 0.694 0.847 0.750
Br 0.847 0.153 0.250
Br 0.847 0.694 0.250
```

***

This record from OQMD describes Cs2NiPdBr6 after structural relaxation. The functional is PBE. Values from VASP.

E	-3.13	eV/atom

```
&SYSTEM
  ibrav = 0, nat = 10, ntyp = 4
/
ATOMIC_SPECIES
Cs 132.91 Cs.upf
Ni 58.69 Ni.upf
Pd 106.42 Pd.upf
Br 79.90 Br.upf
CELL_PARAMETERS angstrom
0.000 5.256 5.256
5.256 0.000 5.256
5.256 5.256 0.000
ATOMIC_POSITIONS crystal
Cs 0.250 0.250 0.250
Cs 0.750 0.750 0.750
Ni 0.000 0.000 0.000
Pd 0.500 0.500 0.500
Br 0.245 0.245 0.755
Br 0.245 0.755 0.245
Br 0.245 0.755 0.755
Br 0.755 0.245 0.245
Br 0.755 0.245 0.755
Br 0.755 0.755 0.245
```

***

This record from OQMD describes Cs2ScNiBr6 after structural relaxation. The functional is PBE. Values from VASP.

E	-3.73	eV/atom

```
&SYSTEM
  ibrav = 0, nat = 10, ntyp = 4
/
ATOMIC_SPECIES
Cs 132.91 Cs.upf
Sc 44.96 Sc.upf
Ni 58.69 Ni.upf
Br 79.90 Br.upf
CELL_PARAMETERS angstrom
3.806 2.197 6.213
-3.806 2.197 6.213
0.000 -4.395 6.213
ATOMIC_POSITIONS crystal
Cs 0.250 0.250 0.250
Cs 0.750 0.750 0.750
Sc 0.000 0.000 0.000
Ni 0.500 0.500 0.500
Br 0.246 0.750 0.254
Br 0.250 0.746 0.754
Br 0.254 0.246 0.750
Br 0.746 0.754 0.250
Br 0.750 0.254 0.246
Br 0.754 0.250 0.746
```